No. 1
4
Lattice="4.2176 0.0000 0.0000 0.0000 4.2176 0.0000 0.0000 0.0000 6.8102" Properties=species:S:1:pos:R:3 comment="PBE Pm2DySb, optimized geometry" polymorph_energy_kcal_per_mol_atoms=0.77 space_group=P4/mmm formation_energy_uncorrected_kj_per_mol_atoms=-48.57 pbc="T T T"
Dy 2.1088 2.1088 0.0000
Pm 0.0000 0.0000 4.9777
Pm 0.0000 0.0000 1.8325
Sb 2.1088 2.1088 3.4051

No. 2
8
Lattice="-2.7019 -3.2516 1.4434 5.6277 -5.1825 -1.1403 0.4859 2.7913 7.1974" Properties=species:S:1:pos:R:3 comment="PBE Pm3DySb4, optimized geometry" polymorph_energy_kcal_per_mol_atoms=0.06 space_group=Cmmm formation_energy_uncorrected_kj_per_mol_atoms=-112.96 pbc="T T T"
Sb 3.0035 -4.8337 1.6461
Sb 0.4083 -0.8091 5.8544
Sb 4.6142 -1.8047 4.5715
Sb 1.4994 -0.5865 1.4855
Pm 2.8138 -2.5912 -0.5701
Pm 1.7059 -2.8214 3.7503
Pm 0.2430 1.3956 3.5987
Dy -1.3509 -1.6258 0.7217

No. 3
10
Lattice="-2.8596 1.2944 -3.1874 4.3676 -1.2051 -4.4077 -4.5248 -10.5219 2.9256" Properties=species:S:1:pos:R:3 comment="PBE Pm4DySb5, optimized geometry" space_group=Immm formation_energy_uncorrected_kj_per_mol_atoms=-113.31 pbc="T T T"
Sb 0.6722 -4.8025 -2.5534
Sb -3.6890 -5.6300 -2.1161
Sb -2.1643 -1.3936 -1.7636
Sb 2.1838 -0.6025 -2.2038
Sb -0.8525 -9.0390 -2.9060
Pm 0.0011 -2.0474 -3.9717
Pm -3.0178 -8.3851 -0.6979
Pm -1.5178 -6.2677 -4.3229
Pm -1.4989 -4.1648 -0.3466
Dy 0.0000 0.0000 0.0000

No. 4
19
Lattice="0.6008 -4.1291 -8.0129 -6.7466 -4.3242 4.1715 -3.5012 8.0889 -1.9818" Properties=species:S:1:pos:R:3 comment="PBE Pm12DySb6, optimized geometry" space_group=R-3 formation_energy_uncorrected_kj_per_mol_atoms=-47.19 pbc="T T T"
Sb -4.3020 0.1876 -6.7073
Sb -2.3628 -2.9705 -3.9050
Sb -6.7408 -3.4860 -2.4370
Sb -7.2841 2.6061 -1.9181
Sb -5.3450 -0.5520 0.8842
Sb -2.9062 3.1216 -3.3861
Pm -3.3029 6.0629 -4.3450
Pm -6.3440 -6.4273 -1.4781
Pm -7.8755 4.6458 0.3662
Pm -2.2076 0.1985 -4.2473
Pm -7.4394 -0.5630 -1.5758
Pm -4.3359 1.8630 -0.8255
Pm -1.7714 -5.0102 -6.1893
Pm -5.7265 2.0924 -4.5797
Pm -7.4386 -1.5254 2.9813
Pm -2.2084 1.1610 -8.8044
Pm -5.3111 -2.2274 -4.9975
Pm -3.9205 -2.4569 -1.2434
Dy 0.0000 0.0000 0.0000

No. 5
11
Lattice="-3.3121 -2.2472 -0.6139 1.5775 0.1190 -8.9463 5.7710 -6.3728 5.5459" Properties=species:S:1:pos:R:3 comment="PBE Pm4Dy3Sb4, optimized geometry" space_group=Immm formation_energy_uncorrected_kj_per_mol_atoms=-75.36 pbc="T T T"
Dy 0.7888 0.0595 -4.4732
Dy 0.9396 -1.4250 0.1467
Dy 3.0969 -7.0760 -4.1611
Sb -0.4114 -1.0297 -7.3657
Sb -1.3232 -1.0985 -2.1945
Sb 0.5674 -4.4956 0.0403
Sb 3.4690 -4.0053 -4.0546
Pm 1.0587 -3.5466 -6.0842
Pm 2.9777 -4.9544 2.0699
Pm 0.5079 -3.5882 -2.9605
Pm 3.5285 -4.9128 -1.0539

No. 6
10
Lattice="-1.6915 -3.9578 -0.5051 7.3101 -3.4512 2.5626 -4.3183 3.1992 7.9839" Properties=species:S:1:pos:R:3 comment="PBE PmDy5Sb4, optimized geometry" space_group=C2/m formation_energy_uncorrected_kj_per_mol_atoms=-70.31 pbc="T T T"
Dy 2.8093 -3.7045 1.0287
Dy -3.0731 -1.7523 5.4307
Dy 0.7185 -0.7731 3.6517
Dy 0.5818 -3.4367 6.3896
Dy 4.3734 -2.4575 4.6107
Sb 1.8306 -0.8870 0.8197
Sb 3.2605 -2.3379 7.4004
Sb -1.9602 -1.8719 2.6410
Sb -0.5303 -3.3228 9.2217
Pm -0.8457 -1.9789 -0.2526

No. 7
12
Lattice="-5.8072 -0.6414 -4.1498 -2.3923 -6.1316 4.2955 0.4604 7.8869 4.3243" Properties=species:S:1:pos:R:3 comment="PBE Pm3DySb2, optimized geometry" polymorph_energy_kcal_per_mol_atoms=5.03 space_group=Ibam formation_energy_uncorrected_kj_per_mol_atoms=-58.95 pbc="T T T"
Pm -3.3142 -2.7191 5.0581
Pm -2.1180 0.3467 2.9104
Pm -4.6978 -4.9194 1.1467
Pm -3.5017 -1.8536 -1.0010
Pm -5.6210 0.7672 1.5597
Pm -4.4249 3.8330 -0.5881
Dy -1.1961 -3.0658 2.1478
Dy 0.0000 0.0000 0.0000
Sb -3.6234 3.0797 2.3781
Sb -2.7394 0.2437 6.0123
Sb -4.9996 0.8702 -1.5423
Sb -4.1156 -1.9658 2.0919

No. 8
12
Lattice="4.3519 0.0000 0.0000 -2.1760 10.2826 -0.6289 0.0000 -5.1653 8.2439" Properties=species:S:1:pos:R:3 comment="PBE PmDy3Sb2, optimized geometry" space_group=C2/m formation_energy_uncorrected_kj_per_mol_atoms=-67.42 pbc="T T T"
Dy 2.1760 1.3641 3.7697
Dy 2.1760 6.2065 4.0783
Dy 0.0000 6.3468 1.1004
Dy 2.1760 -1.2295 6.5146
Dy 0.0000 -1.0892 3.5368
Dy 0.0000 3.7532 3.8453
Sb 2.1760 4.0560 1.5186
Sb 2.1760 -0.6932 1.4378
Sb 0.0000 5.8106 6.1772
Sb 0.0000 1.0613 6.0964
Pm 2.1760 3.3649 6.9172
Pm 0.0000 1.7524 0.6978